[1]
# PBE-GGA ZnHg2Pb, relaxed
# Energy of formation: 50 kJ/mol of formula units
# V: 25.47 A^3/atom
# M_tot: 0.0 μB per formula unit
data_ZnHg2Pb
_chemical_formula_sum 'Zn1 Hg2 Pb1'
_cell_length_a 3.699
_cell_length_b 4.802
_cell_length_c 5.737
_cell_angle_alpha 90.00
_cell_angle_beta 90.00
_cell_angle_gamma 90.00
_symmetry_space_group_name_H-M 'P m m m'
_symmetry_Int_Tables_number 47
_symmetry_space_group_name_Hall '-P 2 2'
loop_
_atom_site_label
_atom_site_type_symbol
_atom_site_fract_x
_atom_site_fract_y
_atom_site_fract_z
Zn1 Zn 0.000 0.000 0.000
Hg1 Hg 0.000 0.500 0.500
Hg2 Hg 0.500 0.000 0.500
Pb1 Pb 0.500 0.500 0.000


[2]
# PBE-GGA Zn3Hg5Pb12, relaxed
# Energy of formation: 328 kJ/mol of formula units
# V: 34.02 A^3/atom
# M_tot: 0.0 μB per formula unit
data_Zn3Hg5Pb12
_chemical_formula_sum 'Zn24 Hg40 Pb96'
_cell_length_a 17.590
_cell_length_b 17.590
_cell_length_c 17.590
_cell_angle_alpha 90.00
_cell_angle_beta 90.00
_cell_angle_gamma 90.00
_symmetry_space_group_name_H-M 'I a -3 d'
_symmetry_Int_Tables_number 230
_symmetry_space_group_name_Hall '-I 4bd 2c 3'
loop_
_atom_site_label
_atom_site_type_symbol
_atom_site_fract_x
_atom_site_fract_y
_atom_site_fract_z
Zn1 Zn 0.000 0.250 0.125
Hg1 Hg 0.000 0.000 0.000
Hg2 Hg 0.000 0.250 0.375
Pb1 Pb 0.017 0.088 0.647


[3]
# PBE-GGA Zn2HgPb2, relaxed
# Energy of formation: 88 kJ/mol of formula units
# Excess energy over the best structure of this formula in the dataset: 92 meV per atom
# V: 25.78 A^3/atom
# M_tot: 0.0 μB per formula unit
data_Zn2HgPb2
_chemical_formula_sum 'Zn4 Hg2 Pb4'
_cell_length_a 8.661
_cell_length_b 8.661
_cell_length_c 3.437
_cell_angle_alpha 90.00
_cell_angle_beta 90.00
_cell_angle_gamma 90.00
_symmetry_space_group_name_H-M 'P 4/m b m'
_symmetry_Int_Tables_number 127
_symmetry_space_group_name_Hall '-P 4 2ab'
loop_
_atom_site_label
_atom_site_type_symbol
_atom_site_fract_x
_atom_site_fract_y
_atom_site_fract_z
Zn1 Zn 0.149 0.351 0.000
Hg1 Hg 0.000 0.000 0.500
Pb1 Pb 0.147 0.647 0.500


[4]
# PBE-GGA ZnHgPb2, relaxed
# Energy of formation: 36 kJ/mol of formula units
# Excess energy over the best structure of this formula in the dataset: 13 meV per atom
# V: 26.62 A^3/atom
# M_tot: 0.0 μB per formula unit
data_ZnHgPb2
_chemical_formula_sum 'Zn2 Hg2 Pb4'
_cell_length_a 4.434
_cell_length_b 5.419
_cell_length_c 8.862
_cell_angle_alpha 90.00
_cell_angle_beta 90.00
_cell_angle_gamma 90.00
_symmetry_space_group_name_H-M 'C m m m'
_symmetry_Int_Tables_number 65
_symmetry_space_group_name_Hall '-C 2 2'
loop_
_atom_site_label
_atom_site_type_symbol
_atom_site_fract_x
_atom_site_fract_y
_atom_site_fract_z
Zn1 Zn 0.000 0.000 0.000
Hg1 Hg 0.000 0.000 0.500
Pb1 Pb 0.000 0.500 0.222